Material: MnTcH2
Method: DFT, GGA-PBE
State: optimized geometry

For the final energy, the calculation gives -0.220 Ha/atom. For the density of states at the Fermi level, the calculation gives 20.094 states/eV/cell. The value obtained for the magnetization is 2.4 μB/f.u. Its calculated volume is 8.42 A^3/atom.

The space group is Fm-3m (No. 225) and the conventional cell measures 5.1268, 5.1268 and 5.1268 Å, with angles of 90.00, 90.00 and 90.00 degrees. The asymmetric unit holds Mn at (0.0000, 0.0000, 0.0000), Tc at (0.0000, 0.0000, 0.5000) and H at (0.2500, 0.2500, 0.2500).